{"formula": "LiCoSiO2", "functional": "PBE+U", "state": "optimized geometry", "final_energy_ev_per_cell": -22.23, "lattice": [[3.7849, 0.0000, 0.0000], [0.0000, 4.1542, 0.0000], [0.0000, 0.0000, 3.7849]], "species": ["Si", "Co", "O", "O", "Li"], "fractional_positions": [[0.5000, 0.5000, 0.5000], [0.0000, 0.0000, 0.0000], [0.0000, 0.0000, 0.5000], [0.5000, 0.0000, 0.0000], [0.0000, 0.5000, 0.0000]]}